(1)
Below is crystalline Sc3Sb at its relaxed geometry, with properties calculated at the PBE level.

The total magnetization comes out at 0.0 Bohr magnetons per cell. For the density of states at the Fermi level, the calculation gives 5.13 states/eV/f.u. Its symmetry is Pnma (62). Its density is 4.368 g/cm3. The energy relative to the elements, uncorrected is -48.1 kJ/mol of atoms. The value obtained for the energy above the lowest structure with this stoichiometry is 20 kJ/mol of formula units.

Structure (POSCAR):
```
Sc3Sb
1.0
6.053 0.000 0.000
0.000 7.038 0.000
0.000 0.000 9.161
Sc Sb
12 4
direct
0.136 0.016 0.750
0.123 0.304 0.464
0.123 0.304 0.036
0.377 0.804 0.464
0.364 0.516 0.750
0.877 0.696 0.964
0.877 0.696 0.536
0.636 0.484 0.250
0.864 0.984 0.250
0.623 0.196 0.964
0.623 0.196 0.536
0.377 0.804 0.036
0.899 0.384 0.750
0.101 0.616 0.250
0.399 0.116 0.250
0.601 0.884 0.750
```

=====

(2)
Below is crystalline Cd6GaAu10 at its relaxed geometry, with properties calculated at the PBE level.

The total magnetization comes out at 0.0 Bohr magnetons per cell. For the density of states at the Fermi level, the calculation gives 4.83 states/eV/f.u. Its symmetry is P-31m (162). The value obtained for the formation energy is -0.11 eV per atom. Its density is 13.586 g/cm3.

Structure (POSCAR):
```
Cd6GaAu10
1.0
5.633 0.000 0.000
0.000 7.141 -4.123
0.000 0.000 8.246
Au Cd Ga
10 6 1
direct
0.198 0.000 0.745
0.802 0.745 0.745
0.198 0.745 0.000
0.500 0.333 0.667
0.000 0.333 0.667
0.802 0.255 0.000
0.802 0.000 0.255
0.500 0.667 0.333
0.198 0.255 0.255
0.000 0.667 0.333
0.721 0.387 0.387
0.279 0.387 0.000
0.279 0.613 0.613
0.279 0.000 0.387
0.721 0.613 0.000
0.721 0.000 0.613
0.500 0.000 0.000
```

=====

(3)
Below is crystalline BaPdPb6 at its relaxed geometry, with properties calculated at the PBE level.

The total magnetization comes out at 0.0 Bohr magnetons per cell. For the density of states at the Fermi level, the calculation gives 3.15 states/eV/f.u. Its symmetry is P4/mmm (123). The value obtained for the formation energy is -0.23 eV per atom. Its density is 9.397 g/cm3.

Structure (POSCAR):
```
BaPdPb6
1.0
-0.365 -3.588 -3.364
1.933 -3.206 3.210
-9.907 -2.368 3.600
Pd Pb Ba
1 6 1
direct
0.000 0.000 0.500
0.500 0.500 0.148
0.000 0.500 0.657
0.500 0.000 0.657
0.000 0.500 0.343
0.500 0.000 0.343
0.500 0.500 0.852
0.000 0.000 0.000
```

=====

(4)
Below is crystalline Ba8IrPt2 at its relaxed geometry, with properties calculated at the PBE level.

The total magnetization comes out at 0.0 Bohr magnetons per cell. For the density of states at the Fermi level, the calculation gives 7.96 states/eV/f.u. Its symmetry is C2/m (12). The value obtained for the formation energy is -0.37 eV per atom. Its density is 5.289 g/cm3. The value obtained for the energy above the lowest structure with this stoichiometry is 0 kJ/mol of formula units.

Structure (POSCAR):
```
Ba8IrPt2
1.0
-7.436 -2.046 -0.640
-0.904 -2.774 -8.484
0.164 -8.847 -1.479
Ba Pt Ir
8 2 1
direct
0.257 0.620 0.620
0.760 0.874 0.874
0.259 0.097 0.644
0.741 0.356 0.903
0.741 0.903 0.356
0.240 0.126 0.126
0.743 0.380 0.380
0.259 0.644 0.097
0.484 0.265 0.265
0.516 0.735 0.735
0.000 0.000 0.000
```

=====

(5)
Below is crystalline Tb4Ir2I5 at its relaxed geometry, with properties calculated at the PBE level.

The total magnetization comes out at 0.0 Bohr magnetons per cell. For the density of states at the Fermi level, the calculation gives 1.12 states/eV/f.u. Its symmetry is C2/m (12). Its density is 6.513 g/cm3. The energy relative to the elements, uncorrected is -92.3 kJ/mol of atoms.

Structure (POSCAR):
```
Tb4Ir2I5
1.0
4.138 0.000 0.000
0.000 8.332 0.929
-2.069 -1.379 12.084
I Tb Ir
5 4 2
direct
0.204 0.322 0.408
0.153 0.840 0.306
0.796 0.678 0.592
0.847 0.160 0.694
0.500 0.000 0.000
0.031 0.696 0.061
0.969 0.304 0.939
0.343 0.440 0.685
0.657 0.560 0.315
0.553 0.491 0.106
0.447 0.509 0.894
```

=====

(6)
Below is crystalline CaPt2 at its relaxed geometry, with properties calculated at the PBE level.

The total magnetization comes out at 0.0 Bohr magnetons per cell. For the density of states at the Fermi level, the calculation gives 1.52 states/eV/f.u. Its symmetry is Cmcm (63). The value obtained for the formation energy is -0.75 eV per atom. Its density is 11.477 g/cm3.

Structure (POSCAR):
```
CaPt2
1.0
3.384 2.523 3.716
-5.576 -0.224 0.692
0.449 -4.012 2.315
Pt Ca
4 2
direct
0.850 0.407 0.750
0.150 0.593 0.250
0.407 0.850 0.750
0.593 0.150 0.250
0.745 0.745 0.250
0.255 0.255 0.750
```